Material: Li2In6Ag
Method: DFT, PBE
State: optimized geometry

Summary:
Total energy = -0.1973 Ry/atom
Spin magnetization = 0.00 Bohr magnetons per cell
DOS(E_F) = 3.8 states/eV/cell
Space-group type = No. 12
Energy relative to the elements = -2.70 kcal/mol of atoms

```
Li2In6Ag
1.0
4.305 0.000 1.217
2.317 7.108 0.026
0.364 -1.182 6.935
In Li Ag
6 2 1
Cartesian
1.874 5.221 1.594
2.037 1.427 1.015
5.112 0.705 6.584
3.416 5.059 4.359
3.569 0.867 3.820
4.948 4.499 7.164
2.941 2.633 6.039
4.044 3.294 2.139
1.340 2.963 3.481
```